A plane-wave DFT calculation with PBE was carried out for RbZnCo2Cl8 after structural relaxation.

Unit cell a=10.1192 b=10.1192 c=10.1192 alpha=36.31 beta=36.31 gamma=36.31
With the nearest neighbours (Å) after each atom.
Positions (direct):
Rb1 0.0000 0.0000 0.0000  12 Cl 3.67-3.90
Zn1 0.5000 0.5000 0.5000  6 Cl 2.50
Co1 0.2412 0.2412 0.2412  4 Cl 2.19-2.23
Co2 0.7588 0.7588 0.7588  4 Cl 2.19-2.23
Cl1 0.1268 0.4500 0.7673  1 Co 2.23
Cl2 0.2327 0.8732 0.5500  1 Co 2.23
Cl3 0.3184 0.3184 0.3184  1 Co 2.19
Cl4 0.4500 0.7673 0.1268  1 Co 2.23
Cl5 0.5500 0.2327 0.8732  1 Co 2.23
Cl6 0.6816 0.6816 0.6816  1 Co 2.19
Cl7 0.7673 0.1268 0.4500  1 Co 2.23
Cl8 0.8732 0.5500 0.2327  1 Co 2.23

---

A plane-wave DFT calculation with PBE was carried out for Ba3LiIn after structural relaxation.

Unit cell a=6.7810 b=6.7810 c=6.7810 alpha=90.00 beta=90.00 gamma=90.00
With the nearest neighbours (Å) after each atom.
Positions (direct):
Ba1 0.0000 0.0000 0.5000  2 In 3.39
Ba2 0.0000 0.5000 0.0000  2 In 3.39
Ba3 0.5000 0.0000 0.0000  2 In 3.39
Li1 0.5000 0.5000 0.5000  12 Ba 4.79
In1 0.0000 0.0000 0.0000  6 Ba 3.39

Summary:
The value obtained for the offset from the most stable computed form is 244 meV per atom. The formation enthalpy at 0 K is 0.069 eV/atom.

---

A plane-wave DFT calculation with PBE was carried out for ReGeSe2Br after structural relaxation.

Unit cell a=5.0681 b=5.0681 c=5.0693 alpha=90.00 beta=90.00 gamma=90.00
With the nearest neighbours (Å) after each atom.
Positions (direct):
Re1 0.0000 0.0000 0.0000  4 Br 3.58, 8 Se 3.58
Ge1 0.5000 0.5000 0.5000  4 Se 2.53, 2 Br 2.53
Se1 0.0000 0.5000 0.5000  2 Ge 2.53
Se2 0.5000 0.0000 0.5000  2 Ge 2.53
Br1 0.5000 0.5000 0.0000  2 Ge 2.53

Summary:
The value obtained for the offset from the most stable computed form is 636 meV per atom.

---

A plane-wave DFT calculation with PBE was carried out for Tm8As3AuSe4 after structural relaxation.

Unit cell a=8.1442 b=8.1442 c=8.1442 alpha=59.60 beta=59.60 gamma=59.60
With the nearest neighbours (Å) after each atom.
Positions (direct):
Tm1 0.2455 0.2455 0.2455  3 As 2.82, 3 Se 2.92
Tm2 0.2464 0.7477 0.7477  2 As 2.84, 1 Au 2.84, 3 Se 2.90
Tm3 0.2523 0.2523 0.7536  2 As 2.84, 1 Au 2.84, 3 Se 2.90
Tm4 0.2523 0.7536 0.2523  2 As 2.84, 1 Au 2.84, 3 Se 2.90
Tm5 0.7477 0.2464 0.7477  2 As 2.84, 1 Au 2.84, 3 Se 2.90
Tm6 0.7477 0.7477 0.2464  2 As 2.84, 1 Au 2.84, 3 Se 2.90
Tm7 0.7536 0.2523 0.2523  2 As 2.84, 1 Au 2.84, 3 Se 2.90
Tm8 0.7545 0.7545 0.7545  3 As 2.82, 3 Se 2.92
As1 0.0000 0.0000 0.5000  6 Tm 2.82-2.84
As2 0.0000 0.5000 0.0000  6 Tm 2.82-2.84
As3 0.5000 0.0000 0.0000  6 Tm 2.82-2.84
Au1 0.5000 0.5000 0.5000  6 Tm 2.84
Se1 0.0000 0.0000 0.0000  6 Tm 2.90
Se2 0.0000 0.5000 0.5000  6 Tm 2.90-2.92
Se3 0.5000 0.0000 0.5000  6 Tm 2.90-2.92
Se4 0.5000 0.5000 0.0000  6 Tm 2.90-2.92

---

A plane-wave DFT calculation with PBE was carried out for Zr2CoAs after structural relaxation.

Unit cell a=4.5770 b=4.5770 c=3.4054 alpha=90.00 beta=90.00 gamma=102.36
With the nearest neighbours (Å) after each atom.
Positions (direct):
Zr1 0.0000 0.5000 0.0000  4 As 2.85, 4 Co 2.85, 2 Zr 2.87
Zr2 0.5000 0.0000 0.0000  4 As 2.85, 4 Co 2.85, 2 Zr 2.87
Co1 0.0000 0.0000 0.5000  8 Zr 2.85, 2 As 2.87
As1 0.5000 0.5000 0.5000  8 Zr 2.85, 2 Co 2.87

Summary:
The formation enthalpy at 0 K is -0.484 eV/atom.

---

A plane-wave DFT calculation with PBE was carried out for Re2SiPb after structural relaxation.

Unit cell a=5.2646 b=5.2646 c=3.0199 alpha=105.79 beta=105.79 gamma=110.54
With the nearest neighbours (Å) after each atom.
Positions (direct):
Re1 0.0000 0.5000 0.0000  2 Pb 2.65, 2 Si 2.65
Re2 0.5000 0.0000 0.0000  2 Pb 2.65, 2 Si 2.65
Si1 0.0000 0.0000 0.5000  4 Re 2.65
Pb1 0.5000 0.5000 0.5000  4 Re 2.65

Summary:
The value obtained for the offset from the most stable computed form is 644 meV per atom.

---

A plane-wave DFT calculation with PBE was carried out for Er3GePd after structural relaxation.

Unit cell a=8.8129 b=8.8129 c=7.1166 alpha=99.79 beta=99.79 gamma=71.80
With the nearest neighbours (Å) after each atom.
Positions (direct):
Er1 0.0397 0.1686 0.4055  1 Pd 2.81, 1 Ge 2.82
Er2 0.1498 0.6395 0.0278  2 Pd 2.74-2.82, 2 Ge 2.93-2.95
Er3 0.1686 0.0397 0.9055  1 Pd 2.81, 1 Ge 2.82
Er4 0.2554 0.4454 0.4470  3 Pd 2.83-3.07, 2 Ge 2.99-3.09
Er5 0.3605 0.8502 0.4722  2 Pd 2.74-2.82, 2 Ge 2.93-2.95
Er6 0.4454 0.2554 0.9470  3 Pd 2.83-3.07, 2 Ge 2.99-3.09
Er7 0.5546 0.7446 0.0530  3 Pd 2.83-3.07, 2 Ge 2.99-3.09
Er8 0.6395 0.1498 0.5278  2 Pd 2.74-2.82, 2 Ge 2.93-2.95
Er9 0.7446 0.5546 0.5530  3 Pd 2.83-3.07, 2 Ge 2.99-3.09
Er10 0.8314 0.9603 0.0945  1 Pd 2.81, 1 Ge 2.82
Er11 0.8502 0.3605 0.9722  2 Pd 2.74-2.82, 2 Ge 2.93-2.95
Er12 0.9603 0.8314 0.5945  1 Pd 2.81, 1 Ge 2.82
Ge1 0.0974 0.3706 0.7460  6 Er 2.82-3.15
Ge2 0.3706 0.0974 0.2460  6 Er 2.82-3.15
Ge3 0.6294 0.9026 0.7540  6 Er 2.82-3.15
Ge4 0.9026 0.6294 0.2540  6 Er 2.82-3.15
Pd1 0.2842 0.7158 0.7500  1 Pd 2.72, 6 Er 2.74-2.97
Pd2 0.4528 0.5472 0.2500  1 Pd 2.72, 4 Er 2.82-2.83
Pd3 0.5472 0.4528 0.7500  1 Pd 2.72, 4 Er 2.82-2.83
Pd4 0.7158 0.2842 0.2500  1 Pd 2.72, 6 Er 2.74-2.97

Summary:
The formation enthalpy at 0 K is -0.549 eV/atom.

---

A plane-wave DFT calculation with PBE was carried out for FePSeBr2 after structural relaxation.

Unit cell a=4.9940 b=4.9940 c=5.0446 alpha=90.00 beta=90.00 gamma=90.00
With the nearest neighbours (Å) after each atom.
Positions (direct):
Fe1 0.0000 0.0000 0.0000  4 Se 3.53, 8 Br 3.55
P1 0.5000 0.5000 0.5000  4 Br 2.50, 2 Se 2.52
Se1 0.5000 0.5000 0.0000  2 P 2.52
Br1 0.0000 0.5000 0.5000  2 P 2.50
Br2 0.5000 0.0000 0.5000  2 P 2.50

Summary:
The value obtained for the offset from the most stable computed form is 0 meV per atom.

---

A plane-wave DFT calculation with PBE was carried out for AuBrO3 after structural relaxation.

Unit cell a=3.9592 b=3.9592 c=3.9592 alpha=90.00 beta=90.00 gamma=90.00
With the nearest neighbours (Å) after each atom.
Positions (direct):
Au1 0.0000 0.0000 0.0000  12 O 2.80
Br1 0.5000 0.5000 0.5000  6 O 1.98
O1 0.0000 0.5000 0.5000  2 Br 1.98
O2 0.5000 0.0000 0.5000  2 Br 1.98
O3 0.5000 0.5000 0.0000  2 Br 1.98

---

A plane-wave DFT calculation with PBE was carried out for Gd2TeI after structural relaxation.

Unit cell a=5.4138 b=5.4138 c=5.4138 alpha=60.00 beta=60.00 gamma=60.00
With the nearest neighbours (Å) after each atom.
Positions (direct):
Gd1 0.2500 0.2500 0.2500  4 I 3.32, 4 Te 3.32
Gd2 0.7500 0.7500 0.7500  4 I 3.32, 4 Te 3.32
Te1 0.0000 0.0000 0.0000  8 Gd 3.32
I1 0.5000 0.5000 0.5000  8 Gd 3.32

Summary:
The value obtained for the offset from the most stable computed form is 7 meV per atom.

---

A plane-wave DFT calculation with PBE was carried out for PaMn2S4 after structural relaxation.

Unit cell a=6.2252 b=6.2252 c=12.2261 alpha=90.00 beta=90.00 gamma=145.30
With the nearest neighbours (Å) after each atom.
Positions (direct):
Pa1 0.1226 0.8774 0.7500  6 S 2.71-2.76
Pa2 0.8774 0.1226 0.2500  6 S 2.71-2.76
Mn1 0.3706 0.6294 0.5648  6 S 2.48-2.61
Mn2 0.3706 0.6294 0.9352  6 S 2.48-2.61
Mn3 0.6294 0.3706 0.0648  6 S 2.48-2.61
Mn4 0.6294 0.3706 0.4352  6 S 2.48-2.61
S1 0.0000 0.0000 0.0000  4 Mn 2.54
S2 0.0000 0.0000 0.5000  4 Mn 2.54
S3 0.2737 0.7263 0.1169  3 Mn 2.50-2.61, 2 Pa 2.76
S4 0.2737 0.7263 0.3831  3 Mn 2.50-2.61, 2 Pa 2.76
S5 0.4562 0.5438 0.7500  2 Mn 2.48, 2 Pa 2.71
S6 0.5438 0.4562 0.2500  2 Mn 2.48, 2 Pa 2.71
S7 0.7263 0.2737 0.6169  3 Mn 2.50-2.61, 2 Pa 2.76
S8 0.7263 0.2737 0.8831  3 Mn 2.50-2.61, 2 Pa 2.76

Summary:
The value obtained for the offset from the most stable computed form is 12 meV per atom.

---

A plane-wave DFT calculation with PBE was carried out for Pm2PrScBi5 after structural relaxation.

Unit cell a=5.7104 b=5.7104 c=11.4413 alpha=90.00 beta=90.00 gamma=90.00
With the nearest neighbours (Å) after each atom.
Positions (direct):
Pm1 0.0000 0.0000 0.1994  5 Bi 3.44-3.65
Pm2 0.0000 0.0000 0.8006  5 Bi 3.44-3.65
Pr1 0.5000 0.5000 0.0000  6 Bi 2.86-3.01
Sc1 0.5000 0.5000 0.5000  2 Bi 2.71
Bi1 0.0000 0.0000 0.5000  2 Pm 3.44
Bi2 0.0000 0.5000 0.0000  2 Pr 2.86
Bi3 0.5000 0.0000 0.0000  2 Pr 2.86
Bi4 0.5000 0.5000 0.2633  1 Sc 2.71, 1 Pr 3.01
Bi5 0.5000 0.5000 0.7367  1 Sc 2.71, 1 Pr 3.01

Summary:
The formation enthalpy at 0 K is 0.072 eV/atom.

---

Number 1: total DFT energy (no corrections) -3.5052 eV/atom. Number 2: total DFT energy (no corrections) -2.0154 eV/atom. Number 3: total DFT energy (no corrections) -3.9363 eV/atom. Number 4: total DFT energy (no corrections) -5.7110 eV/atom. Number 5: total DFT energy (no corrections) -7.6972 eV/atom. Number 6: total DFT energy (no corrections) -7.5130 eV/atom. Number 7: total DFT energy (no corrections) -5.2490 eV/atom. Number 8: total DFT energy (no corrections) -3.4605 eV/atom. Number 9: total DFT energy (no corrections) -3.0453 eV/atom. Number 10: total DFT energy (no corrections) -9.2365 eV/atom. Number 11: total DFT energy (no corrections) -7.3135 eV/atom. Number 12: total DFT energy (no corrections) -4.3748 eV/atom.